Record 1
Ta2ReRu, optimized geometry, DFT PBE; E_tot = -11.505 eV per atom
1.0
2.8182 -4.3794 0.0000
2.8182 4.3794 0.0000
-0.9997 0.0000 2.6286
Ta Re Ru
2 1 1
direct
0.0000 0.5000 0.0000 Ta
0.5000 0.0000 0.0000 Ta
0.0000 0.0000 0.5000 Re
0.5000 0.5000 0.5000 Ru

***

Record 2
LaV2P, optimized geometry, DFT PBE; E_tot = -7.220 eV per atom
1.0
-2.1720 2.1720 8.8080
2.1720 -2.1720 8.8080
2.1720 2.1720 -8.8080
La V P
2 4 2
direct
0.0000 0.0000 0.0000 La
0.7500 0.2500 0.5000 La
0.3196 0.1250 0.6946 V
0.3750 0.6804 0.8054 V
0.4304 0.6250 0.3054 V
0.8750 0.5696 0.1946 V
0.2500 0.7500 0.5000 P
0.5000 0.5000 0.0000 P

***

Which of these has the highest E_tot?
LaV2P